(1)
First-principles (SCAN) data for a PBEsol-optimized structure of Re5Pt, as listed in the Alexandria database.

Uncorrected energy, eV per atom: -71.047

Geometry as CIF:
```
data_Re5Pt
_chemical_formula_sum 'Re10 Pt2'
_cell_length_a 10.012
_cell_length_b 2.750
_cell_length_c 6.527
_cell_angle_alpha 90.00
_cell_angle_beta 104.00
_cell_angle_gamma 90.00
_space_group_name_H-M_alt 'C 1 m 1'
_space_group_IT_number 8
loop_
_space_group_symop_operation_xyz
'x,y,z'
'x,-y,z'
'x+1/2,y+1/2,z'
'x+1/2,-y+1/2,z'
loop_
_atom_site_label
_atom_site_type_symbol
_atom_site_fract_x
_atom_site_fract_y
_atom_site_fract_z
Re1 Re 0.000 0.000 0.000
Re2 Re 0.055 0.000 0.620
Re3 Re 0.222 0.500 0.952
Re4 Re 0.334 0.000 0.675
Re5 Re 0.390 0.000 0.284
Pt1 Pt 0.167 0.500 0.341
```

---

(2)
First-principles (SCAN) data for a PBEsol-optimized structure of K2BeHg, as listed in the Alexandria database.

E above lowest polymorph, meV/atom: 0
Uncorrected energy, eV per atom: -22.061

Geometry as CIF:
```
data_K2BeHg
_chemical_formula_sum 'K4 Be2 Hg2'
_cell_length_a 4.996
_cell_length_b 5.086
_cell_length_c 10.018
_cell_angle_alpha 90.00
_cell_angle_beta 90.00
_cell_angle_gamma 90.00
_space_group_name_H-M_alt 'C m m 2'
_space_group_IT_number 35
loop_
_space_group_symop_operation_xyz
'x,y,z'
'-x,-y,z'
'-x,y,z'
'x,-y,z'
'x+1/2,y+1/2,z'
'-x+1/2,-y+1/2,z'
'-x+1/2,y+1/2,z'
'x+1/2,-y+1/2,z'
loop_
_atom_site_label
_atom_site_type_symbol
_atom_site_fract_x
_atom_site_fract_y
_atom_site_fract_z
K1 K 0.000 0.000 0.000
K2 K 0.000 0.500 0.405
Be1 Be 0.000 0.500 0.720
Hg1 Hg 0.000 0.000 0.674
```

---

(3)
First-principles (SCAN) data for a PBEsol-optimized structure of TaCuMo2, as listed in the Alexandria database.

E above lowest polymorph, meV/atom: 0
Uncorrected energy, eV per atom: -37.778

Geometry as CIF:
```
data_TaCuMo2
_chemical_formula_sum 'Ta2 Cu2 Mo4'
_cell_length_a 3.252
_cell_length_b 4.250
_cell_length_c 8.672
_cell_angle_alpha 90.00
_cell_angle_beta 90.00
_cell_angle_gamma 90.00
_space_group_name_H-M_alt 'C m m m'
_space_group_IT_number 65
_space_group_name_Hall '-C 2 2'
loop_
_atom_site_label
_atom_site_type_symbol
_atom_site_fract_x
_atom_site_fract_y
_atom_site_fract_z
Ta1 Ta 0.000 0.000 0.000
Cu1 Cu 0.000 0.000 0.500
Mo1 Mo 0.000 0.500 0.265
```

---

(4)
First-principles (SCAN) data for a PBEsol-optimized structure of NiBr, as listed in the Alexandria database.

Energy relative to the elements, uncorrected, kJ/mol of formula units: 39
Uncorrected energy, eV per atom: -17.614

Geometry as CIF:
```
data_NiBr
_chemical_formula_sum 'Ni2 Br2'
_cell_length_a 6.595
_cell_length_b 3.424
_cell_length_c 3.371
_cell_angle_alpha 90.00
_cell_angle_beta 90.00
_cell_angle_gamma 90.00
_space_group_name_H-M_alt 'P m m a'
_space_group_IT_number 51
loop_
_space_group_symop_operation_xyz
'x,y,z'
'-x,-y,-z'
'-x+1/2,-y,z'
'x+1/2,y,-z'
'x+1/2,-y,-z'
'-x+1/2,y,z'
'-x,y,-z'
'x,-y,z'
loop_
_atom_site_label
_atom_site_type_symbol
_atom_site_fract_x
_atom_site_fract_y
_atom_site_fract_z
Ni1 Ni 0.250 0.000 0.156
Br1 Br 0.250 0.500 0.664
```